No. 1
{
  "formula": "Ba2TaN",
  "functional": "GGA-PBE",
  "state": "optimized geometry",
  "cell": [[11.552, 0.000, 0.000], [0.000, 11.552, 0.000], [5.776, 5.776, 2.026]],
  "species": ["N", "N", "Ba", "Ba", "Ba", "Ba", "Ta", "Ta"],
  "fractional_positions": [[0.500, 0.500, 0.000], [0.250, 0.750, 0.500], [0.446, 0.125, 0.250], [0.304, 0.625, 0.250], [0.375, 0.554, 0.750], [0.875, 0.696, 0.750], [0.000, 0.000, 0.000], [0.750, 0.250, 0.500]],
  "e_form_raw_ev_per_atom": -0.017,
  "final_energy_ev_per_cell": -48.19
}


No. 2
{
  "formula": "BaTaN3",
  "functional": "GGA-PBE",
  "state": "optimized geometry",
  "cell": [[-0.054, 1.435, -3.929], [-3.949, -1.311, -0.425], [-1.377, 3.704, 1.371]],
  "species": ["N", "N", "N", "Ba", "Ta"],
  "fractional_positions": [[0.000, 0.500, 0.000], [0.000, 0.000, 0.500], [0.500, 0.000, 0.000], [0.500, 0.500, 0.500], [0.000, 0.000, 0.000]],
  "e_form_raw_ev_per_atom": -0.546,
  "final_energy_ev_per_cell": -41.48
}


No. 3
{
  "formula": "BaTaN",
  "functional": "GGA-PBE",
  "state": "optimized geometry",
  "cell": [[-1.084, -1.627, -2.824], [0.584, -1.770, 2.885], [-11.834, 1.804, 3.503]],
  "species": ["N", "N", "Ba", "Ba", "Ta", "Ta"],
  "fractional_positions": [[0.611, 0.222, 0.000], [0.278, 0.555, 0.500], [0.611, 0.222, 0.367], [0.611, 0.222, 0.633], [0.278, 0.556, 0.902], [0.278, 0.556, 0.098]],
  "e_form_raw_ev_per_atom": 0.373,
  "final_energy_ev_per_cell": -41.97
}


No. 4
{
  "formula": "Ba3Ta3N5",
  "functional": "GGA-PBE",
  "state": "optimized geometry",
  "cell": [[-2.707, 1.002, -5.314], [-1.331, -8.303, 1.338], [-5.314, 5.083, 5.587]],
  "species": ["Ba", "Ba", "Ba", "Ba", "Ba", "Ba", "Ta", "Ta", "Ta", "Ta", "Ta", "Ta", "N", "N", "N", "N", "N", "N", "N", "N", "N", "N"],
  "fractional_positions": [[0.759, 0.438, 0.603], [0.241, 0.562, 0.397], [0.634, 0.818, 0.910], [0.366, 0.182, 0.090], [0.698, 0.694, 0.262], [0.302, 0.306, 0.738], [0.894, 0.309, 0.965], [0.106, 0.691, 0.035], [0.661, 0.003, 0.638], [0.339, 0.997, 0.362], [0.079, 0.881, 0.699], [0.921, 0.119, 0.301], [0.995, 0.099, 0.818], [0.005, 0.901, 0.182], [0.724, 0.765, 0.585], [0.276, 0.235, 0.415], [0.774, 0.508, 0.948], [0.226, 0.492, 0.052], [0.273, 0.930, 0.546], [0.727, 0.070, 0.454], [0.145, 0.767, 0.854], [0.855, 0.233, 0.146]],
  "e_form_raw_ev_per_atom": -0.830,
  "final_energy_ev_per_cell": -184.16
}


No. 5
{
  "formula": "BaTa2N",
  "functional": "GGA-PBE",
  "state": "optimized geometry",
  "cell": [[6.553, 0.000, 0.000], [0.000, 6.553, 0.000], [3.277, 3.277, 4.638]],
  "species": ["N", "N", "Ba", "Ba", "Ta", "Ta", "Ta", "Ta"],
  "fractional_positions": [[0.500, 0.500, 0.000], [0.250, 0.750, 0.500], [0.000, 0.000, 0.000], [0.750, 0.250, 0.500], [0.375, 0.125, 0.250], [0.375, 0.625, 0.250], [0.375, 0.625, 0.750], [0.875, 0.625, 0.750]],
  "e_form_raw_ev_per_atom": 0.131,
  "final_energy_ev_per_cell": -66.86
}


No. 6
{
  "formula": "Ba4TaN4",
  "functional": "GGA-PBE",
  "state": "optimized geometry",
  "cell": [[9.000, 0.000, 0.000], [0.000, 7.265, 0.000], [0.000, 0.000, 7.265]],
  "species": ["Ba", "Ba", "Ba", "Ba", "Ba", "Ba", "Ba", "Ba", "Ta", "Ta", "N", "N", "N", "N", "N", "N", "N", "N"],
  "fractional_positions": [[0.325, 0.260, 0.000], [0.825, 0.500, 0.760], [0.325, 0.740, 0.000], [0.175, 0.240, 0.500], [0.675, 0.000, 0.740], [0.175, 0.760, 0.500], [0.825, 0.500, 0.240], [0.675, 0.000, 0.260], [0.000, 0.000, 0.000], [0.500, 0.500, 0.500], [0.639, 0.713, 0.500], [0.639, 0.287, 0.500], [0.139, 0.000, 0.787], [0.861, 0.213, 0.000], [0.861, 0.787, 0.000], [0.361, 0.500, 0.287], [0.361, 0.500, 0.713], [0.139, 0.000, 0.213]],
  "e_form_raw_ev_per_atom": -0.684,
  "final_energy_ev_per_cell": -118.00
}


No. 7
{
  "formula": "BaTaN2",
  "functional": "GGA-PBE",
  "state": "optimized geometry",
  "cell": [[0.000, 3.044, 3.044], [3.044, 0.000, 3.044], [3.044, 3.044, 0.000]],
  "species": ["N", "N", "Ba", "Ta"],
  "fractional_positions": [[0.250, 0.250, 0.250], [0.750, 0.750, 0.750], [0.000, 0.000, 0.000], [0.500, 0.500, 0.500]],
  "e_form_raw_ev_per_atom": 0.823,
  "final_energy_ev_per_cell": -27.13
}


No. 8
{
  "formula": "BaTb2TaN4",
  "functional": "GGA-PBE",
  "state": "optimized geometry",
  "cell": [[3.520, 0.000, 0.000], [-1.760, 6.333, 0.000], [0.000, 0.000, 12.186]],
  "species": ["Ba", "Ba", "Tb", "Tb", "Tb", "Tb", "Ta", "Ta", "N", "N", "N", "N", "N", "N", "N", "N"],
  "fractional_positions": [[0.088, 0.177, 0.750], [0.912, 0.823, 0.250], [0.372, 0.744, 0.534], [0.628, 0.256, 0.034], [0.628, 0.256, 0.466], [0.372, 0.744, 0.966], [0.827, 0.653, 0.750], [0.173, 0.347, 0.250], [0.256, 0.512, 0.117], [0.744, 0.488, 0.617], [0.744, 0.488, 0.883], [0.256, 0.512, 0.383], [0.000, 0.000, 0.500], [0.000, 0.000, 0.000], [0.408, 0.816, 0.750], [0.592, 0.184, 0.250]],
  "e_form_raw_ev_per_atom": -1.254,
  "final_energy_ev_per_cell": -132.75
}


No. 9
{
  "formula": "BaTaTeN2",
  "functional": "GGA-PBE",
  "state": "optimized geometry",
  "cell": [[-0.309, -3.650, -2.350], [3.589, -1.540, 1.921], [-3.750, -2.766, 4.790]],
  "species": ["N", "N", "Te", "Ba", "Ta"],
  "fractional_positions": [[0.000, 0.500, 0.000], [0.500, 0.000, 0.000], [0.000, 0.000, 0.500], [0.000, 0.000, 0.000], [0.500, 0.500, 0.500]],
  "de_polymorph_mev_per_atom": 2412,
  "e_form_raw_ev_per_atom": 2.191,
  "final_energy_ev_per_cell": -22.61
}


No. 10
{
  "formula": "BaTaTe2N",
  "functional": "GGA-PBE",
  "state": "optimized geometry",
  "cell": [[-3.269, -4.541, 1.340], [4.676, -3.352, 0.052], [0.518, 0.784, 3.918]],
  "species": ["N", "Te", "Te", "Ba", "Ta"],
  "fractional_positions": [[0.000, 0.000, 0.500], [0.000, 0.500, 0.000], [0.500, 0.000, 0.000], [0.500, 0.500, 0.500], [0.000, 0.000, 0.000]],
  "de_polymorph_mev_per_atom": 0,
  "e_form_raw_ev_per_atom": -0.683,
  "final_energy_ev_per_cell": -31.80
}


No. 11
{
  "formula": "BaTaTe2N",
  "functional": "GGA-PBE",
  "state": "optimized geometry",
  "cell": [[-2.065, -3.273, -4.780], [1.697, -5.193, 2.823], [-3.798, -0.254, 1.815]],
  "species": ["N", "Te", "Te", "Ba", "Ta"],
  "fractional_positions": [[0.000, 0.000, 0.500], [0.000, 0.500, 0.000], [0.500, 0.000, 0.000], [0.000, 0.000, 0.000], [0.500, 0.500, 0.500]],
  "de_polymorph_mev_per_atom": 2468,
  "e_form_raw_ev_per_atom": 1.785,
  "final_energy_ev_per_cell": -19.46
}


No. 12
{
  "formula": "BaTaTeN2",
  "functional": "GGA-PBE",
  "state": "optimized geometry",
  "cell": [[-3.664, -0.397, -2.319], [0.256, -4.334, 0.337], [-3.016, 0.189, 4.734]],
  "species": ["N", "N", "Te", "Ba", "Ta"],
  "fractional_positions": [[0.000, 0.500, 0.000], [0.500, 0.000, 0.000], [0.000, 0.000, 0.500], [0.500, 0.500, 0.500], [0.000, 0.000, 0.000]],
  "de_polymorph_mev_per_atom": 0,
  "e_form_raw_ev_per_atom": -0.221,
  "final_energy_ev_per_cell": -34.67
}


No. 13
{
  "formula": "BaTaTlN2",
  "functional": "GGA-PBE",
  "state": "optimized geometry",
  "cell": [[-0.238, 4.659, -0.343], [-4.663, -0.258, -0.270], [-0.326, 0.371, 5.271]],
  "species": ["Tl", "N", "N", "Ba", "Ta"],
  "fractional_positions": [[0.000, 0.000, 0.000], [0.000, 0.500, 0.000], [0.500, 0.000, 0.000], [0.500, 0.500, 0.500], [0.000, 0.000, 0.500]],
  "e_form_raw_ev_per_atom": 2.158,
  "final_energy_ev_per_cell": -22.00
}


No. 14
{
  "formula": "Ba2UTaN5",
  "functional": "GGA-PBE",
  "state": "optimized geometry",
  "cell": [[3.530, 0.000, 0.000], [-1.765, 7.351, 0.000], [0.000, 0.000, 12.092]],
  "species": ["Ba", "Ba", "Ba", "Ba", "U", "U", "Ta", "Ta", "N", "N", "N", "N", "N", "N", "N", "N", "N", "N"],
  "fractional_positions": [[0.861, 0.723, 0.786], [0.107, 0.214, 0.706], [0.139, 0.277, 0.286], [0.893, 0.786, 0.206], [0.782, 0.565, 0.509], [0.218, 0.435, 0.009], [0.505, 0.010, 0.967], [0.495, 0.990, 0.467], [0.374, 0.748, 0.003], [0.704, 0.408, 0.904], [0.498, 0.996, 0.811], [0.278, 0.557, 0.616], [0.943, 0.886, 0.522], [0.626, 0.252, 0.503], [0.296, 0.592, 0.404], [0.502, 0.004, 0.311], [0.722, 0.443, 0.116], [0.057, 0.114, 0.022]],
  "e_form_raw_ev_per_atom": -1.103,
  "final_energy_ev_per_cell": -157.08
}


No. 15
{
  "formula": "BaTaVN4",
  "functional": "GGA-PBE",
  "state": "optimized geometry",
  "cell": [[5.544, 0.000, -0.161], [0.000, 5.693, 0.000], [-2.397, 0.000, 6.971]],
  "species": ["Ba", "Ba", "Ta", "Ta", "V", "V", "N", "N", "N", "N", "N", "N", "N", "N"],
  "fractional_positions": [[0.725, 0.750, 0.943], [0.275, 0.250, 0.057], [0.826, 0.750, 0.463], [0.174, 0.250, 0.537], [0.285, 0.750, 0.354], [0.715, 0.250, 0.646], [0.966, 0.484, 0.667], [0.034, 0.984, 0.333], [0.034, 0.516, 0.333], [0.966, 0.016, 0.667], [0.486, 0.750, 0.207], [0.514, 0.250, 0.793], [0.521, 0.750, 0.575], [0.479, 0.250, 0.425]],
  "e_form_raw_ev_per_atom": -0.896,
  "final_energy_ev_per_cell": -124.93
}


No. 16
{
  "formula": "BaY2TaN4",
  "functional": "GGA-PBE",
  "state": "optimized geometry",
  "cell": [[-1.825, 2.475, -1.698], [2.454, -3.887, -4.671], [-9.957, -6.959, 0.559]],
  "species": ["Ba", "Ba", "Y", "Y", "Y", "Y", "Ta", "Ta", "N", "N", "N", "N", "N", "N", "N", "N"],
  "fractional_positions": [[0.089, 0.178, 0.750], [0.911, 0.822, 0.250], [0.372, 0.744, 0.534], [0.628, 0.256, 0.034], [0.628, 0.256, 0.466], [0.372, 0.744, 0.966], [0.827, 0.654, 0.750], [0.173, 0.346, 0.250], [0.255, 0.511, 0.116], [0.745, 0.489, 0.616], [0.745, 0.489, 0.884], [0.255, 0.511, 0.384], [0.000, 0.000, 0.500], [0.000, 0.000, 0.000], [0.409, 0.818, 0.750], [0.591, 0.182, 0.250]],
  "e_form_raw_ev_per_atom": -1.257,
  "final_energy_ev_per_cell": -140.13
}


No. 17
{
  "formula": "BaTbN",
  "functional": "GGA-PBE",
  "state": "optimized geometry",
  "cell": [[-1.189, 3.501, -0.054], [-2.438, -2.780, 0.047], [3.376, 1.358, 13.762]],
  "species": ["N", "N", "Ba", "Ba", "Tb", "Tb"],
  "fractional_positions": [[0.059, 0.119, 0.804], [0.941, 0.881, 0.196], [0.313, 0.625, 0.659], [0.687, 0.375, 0.341], [0.236, 0.471, 0.127], [0.764, 0.529, 0.873]],
  "de_polymorph_mev_per_atom": 0,
  "e_form_raw_ev_per_atom": -0.748,
  "final_energy_ev_per_cell": -34.25
}


No. 18
{
  "formula": "BaTbN",
  "functional": "GGA-PBE",
  "state": "optimized geometry",
  "cell": [[-3.712, -5.743, 1.161], [1.617, -1.637, -2.925], [1.526, -0.303, 3.381]],
  "species": ["Tb", "Ba", "N"],
  "fractional_positions": [[0.150, 0.000, 0.000], [0.577, 0.667, 0.333], [0.273, 0.333, 0.667]],
  "de_polymorph_mev_per_atom": 31,
  "e_form_raw_ev_per_atom": -0.717,
  "final_energy_ev_per_cell": -17.03
}


No. 19
{
  "formula": "Ba2TbTcN4",
  "functional": "GGA-PBE",
  "state": "optimized geometry",
  "cell": [[5.924, 0.000, 0.000], [2.962, 6.043, 0.000], [2.962, 0.000, 10.556]],
  "species": ["Ba", "Ba", "Ba", "Ba", "Tb", "Tb", "Tc", "Tc", "N", "N", "N", "N", "N", "N", "N", "N"],
  "fractional_positions": [[0.186, 0.000, 0.628], [0.814, 0.000, 0.372], [0.564, 0.500, 0.872], [0.936, 0.500, 0.128], [0.750, 0.500, 0.500], [0.000, 0.000, 0.000], [0.250, 0.500, 0.500], [0.500, 0.000, 0.000], [0.349, 0.815, 0.085], [0.248, 0.185, 0.915], [0.836, 0.815, 0.915], [0.566, 0.185, 0.085], [0.401, 0.685, 0.415], [0.502, 0.315, 0.585], [0.914, 0.685, 0.585], [0.184, 0.315, 0.415]],
  "e_form_raw_ev_per_atom": -0.312,
  "final_energy_ev_per_cell": -109.27
}


No. 20
{
  "formula": "BaTbTcN4",
  "functional": "GGA-PBE",
  "state": "optimized geometry",
  "cell": [[-4.021, 4.054, 1.633], [1.588, -0.704, 5.660], [6.330, 3.689, -1.318]],
  "species": ["Ba", "Ba", "Tb", "Tb", "Tc", "Tc", "N", "N", "N", "N", "N", "N", "N", "N"],
  "fractional_positions": [[0.722, 0.750, 0.929], [0.278, 0.250, 0.071], [0.796, 0.750, 0.455], [0.204, 0.250, 0.545], [0.253, 0.750, 0.334], [0.747, 0.250, 0.666], [0.951, 0.491, 0.700], [0.049, 0.991, 0.300], [0.049, 0.509, 0.300], [0.951, 0.009, 0.700], [0.443, 0.750, 0.179], [0.557, 0.250, 0.821], [0.446, 0.750, 0.566], [0.554, 0.250, 0.434]],
  "e_form_raw_ev_per_atom": -0.766,
  "final_energy_ev_per_cell": -111.16
}